# SrY2TaCo | the Alexandria database | GGA-PBE | optimized geometry
data_SrY2TaCo
_symmetry_space_group_name_H-M 'P 1'
_symmetry_Int_Tables_number 1
_cell_length_a 5.4272
_cell_length_b 5.4272
_cell_length_c 4.7134
_cell_angle_alpha 90.00
_cell_angle_beta 90.00
_cell_angle_gamma 90.00
loop_
_symmetry_equiv_pos_as_xyz
'x,y,z'
loop_
_atom_site_label
_atom_site_type_symbol
_atom_site_fract_x
_atom_site_fract_y
_atom_site_fract_z
Sr1 Sr 0.0000 0.0000 0.0000
Y1 Y 0.0000 0.5000 0.5000
Y2 Y 0.5000 0.0000 0.5000
Ta1 Ta 0.5000 0.5000 0.0000
Co1 Co 0.5000 0.5000 0.5000
# DFT formation energy in eV per atom: 0.3112
# Fermi-level density of states in states/eV/atom: 1.477
# Total DFT energy (no corrections) in eV per atom: -6.4025

# Sr2CoTc | the Alexandria database | GGA-PBE | optimized geometry
data_Sr2CoTc
_symmetry_space_group_name_H-M 'P 1'
_symmetry_Int_Tables_number 1
_cell_length_a 4.0283
_cell_length_b 4.0283
_cell_length_c 8.8747
_cell_angle_alpha 102.97
_cell_angle_beta 102.97
_cell_angle_gamma 59.99
loop_
_symmetry_equiv_pos_as_xyz
'x,y,z'
loop_
_atom_site_label
_atom_site_type_symbol
_atom_site_fract_x
_atom_site_fract_y
_atom_site_fract_z
Sr1 Sr 0.0000 0.0000 0.0000
Sr2 Sr 0.1760 0.1760 0.5346
Co1 Co 0.4212 0.4212 0.2664
Tc1 Tc 0.7550 0.7550 0.2681
# DFT formation energy in eV per atom: 0.2421
# Fermi-level density of states in states/eV/atom: 0.903
# Offset from the most stable computed form in meV per atom: 0
# Total DFT energy (no corrections) in eV per atom: -4.9668

# SrCoTc2 | the Alexandria database | GGA-PBE | optimized geometry
data_SrCoTc2
_symmetry_space_group_name_H-M 'P 1'
_symmetry_Int_Tables_number 1
_cell_length_a 8.9394
_cell_length_b 8.9394
_cell_length_c 8.9394
_cell_angle_alpha 149.10
_cell_angle_beta 149.10
_cell_angle_gamma 44.26
loop_
_symmetry_equiv_pos_as_xyz
'x,y,z'
loop_
_atom_site_label
_atom_site_type_symbol
_atom_site_fract_x
_atom_site_fract_y
_atom_site_fract_z
Sr1 Sr 0.3750 0.6250 0.7500
Sr2 Sr 0.6250 0.3750 0.2500
Co1 Co 0.1250 0.8750 0.2500
Co2 Co 0.8750 0.1250 0.7500
Tc1 Tc 0.0000 0.0000 0.0000
Tc2 Tc 0.0000 0.0000 0.5000
Tc3 Tc 0.0000 0.5000 0.0000
Tc4 Tc 0.5000 0.0000 0.5000
# DFT formation energy in eV per atom: 0.9267
# Fermi-level density of states in states/eV/atom: 1.382
# Offset from the most stable computed form in meV per atom: 443
# Total DFT energy (no corrections) in eV per atom: -6.4533

# Sr2CoTc | the Alexandria database | GGA-PBE | optimized geometry
data_Sr2CoTc
_symmetry_space_group_name_H-M 'P 1'
_symmetry_Int_Tables_number 1
_cell_length_a 5.3314
_cell_length_b 5.3314
_cell_length_c 3.6214
_cell_angle_alpha 90.00
_cell_angle_beta 90.00
_cell_angle_gamma 101.53
loop_
_symmetry_equiv_pos_as_xyz
'x,y,z'
loop_
_atom_site_label
_atom_site_type_symbol
_atom_site_fract_x
_atom_site_fract_y
_atom_site_fract_z
Sr1 Sr 0.0000 0.5000 0.0000
Sr2 Sr 0.5000 0.0000 0.0000
Co1 Co 0.0000 0.0000 0.5000
Tc1 Tc 0.5000 0.5000 0.5000
# DFT formation energy in eV per atom: 0.9913
# Fermi-level density of states in states/eV/atom: 1.596
# Offset from the most stable computed form in meV per atom: 749
# Total DFT energy (no corrections) in eV per atom: -4.2176